{
  "formula": "Sr4TmV3O12",
  "functional": "PBE with a Hubbard U",
  "state": "optimized geometry",
  "lattice_angstrom": [[-6.889, 0.598, -0.326], [1.738, -6.701, -0.004], [2.302, 2.978, 5.810]],
  "species": ["O", "O", "O", "V", "O", "Sr", "O", "Tm", "Sr", "O", "O", "O", "O", "Sr", "V", "Sr", "V", "O", "O", "O"],
  "fractional_positions": [[0.750, 0.500, 0.250], [0.267, 0.267, 0.000], [0.733, 0.733, 0.000], [0.500, 0.000, 0.500], [0.000, 0.733, 0.733], [0.500, 0.500, 0.500], [0.500, 0.250, 0.750], [0.000, 0.000, 0.000], [0.000, 0.000, 0.500], [0.500, 0.750, 0.250], [0.250, 0.500, 0.750], [0.000, 0.267, 0.267], [0.733, 0.000, 0.733], [0.000, 0.500, 0.000], [0.500, 0.500, 0.000], [0.500, 0.000, 0.000], [0.000, 0.500, 0.500], [0.267, 0.000, 0.267], [0.750, 0.250, 0.500], [0.250, 0.750, 0.500]],
  "dft_energy_ev_per_cell": -145.21,
  "magmom_total_mub_per_fu": 2.0
}